{
  "formula": "MgNi2RuI",
  "functional": "GGA-PBE",
  "state": "relaxed",
  "lattice": [[4.584, 0.000, 0.000], [0.000, 4.584, 0.000], [0.000, 0.000, 4.922]],
  "species": ["Mg", "Ni", "Ni", "Ru", "I"],
  "fractional_positions": [[0.000, 0.000, 0.000], [0.000, 0.500, 0.500], [0.500, 0.000, 0.500], [0.500, 0.500, 0.000], [0.500, 0.500, 0.500]],
  "dos_at_fermi_per_ev_cell": 4.49,
  "space_group": "P4/mmm",
  "magmom_total_mub_per_atom": 0.20,
  "raw_formation_energy_mev_per_atom": 1012,
  "final_energy_ha_per_atom": -0.139
}

=====

{
  "formula": "MgNiSbI2",
  "functional": "GGA-PBE",
  "state": "relaxed",
  "lattice": [[5.581, 0.000, 0.000], [0.000, 5.581, 0.000], [0.000, 0.000, 5.666]],
  "species": ["Mg", "Ni", "Sb", "I", "I"],
  "fractional_positions": [[0.000, 0.000, 0.000], [0.500, 0.500, 0.500], [0.000, 0.000, 0.500], [0.000, 0.500, 0.000], [0.500, 0.000, 0.000]],
  "dos_at_fermi_per_ev_cell": 7.59,
  "space_group": "P4/mmm",
  "de_polymorph_mev_per_atom": 481,
  "magmom_total_mub_per_atom": 0.11,
  "raw_formation_energy_mev_per_atom": 674,
  "final_energy_ha_per_atom": -0.083
}

=====

{
  "formula": "MgNiSbI2",
  "functional": "GGA-PBE",
  "state": "relaxed",
  "lattice": [[5.397, 0.000, 0.000], [0.000, 5.397, 0.000], [0.000, 0.000, 4.980]],
  "species": ["Mg", "Ni", "Sb", "I", "I"],
  "fractional_positions": [[0.000, 0.000, 0.000], [0.500, 0.500, 0.500], [0.500, 0.500, 0.000], [0.000, 0.500, 0.500], [0.500, 0.000, 0.500]],
  "dos_at_fermi_per_ev_cell": 4.76,
  "space_group": "P4/mmm",
  "de_polymorph_mev_per_atom": 0,
  "magmom_total_mub_per_atom": 0.00,
  "raw_formation_energy_mev_per_atom": 193,
  "final_energy_ha_per_atom": -0.100
}

=====

{
  "formula": "MgNiSe2I",
  "functional": "GGA-PBE",
  "state": "relaxed",
  "lattice": [[5.589, 0.000, 0.000], [0.000, 5.589, 0.000], [0.000, 0.000, 5.230]],
  "species": ["Mg", "Ni", "Se", "Se", "I"],
  "fractional_positions": [[0.000, 0.000, 0.000], [0.500, 0.500, 0.000], [0.000, 0.500, 0.500], [0.500, 0.000, 0.500], [0.000, 0.000, 0.500]],
  "dos_at_fermi_per_ev_cell": 9.19,
  "space_group": "P4/mmm",
  "magmom_total_mub_per_atom": 0.20,
  "raw_formation_energy_mev_per_atom": 1098,
  "final_energy_ha_per_atom": -0.076
}

=====

{
  "formula": "Sr2MgNiI",
  "functional": "GGA-PBE",
  "state": "relaxed",
  "lattice": [[5.869, 0.000, 0.000], [0.000, 5.869, 0.000], [0.000, 0.000, 4.910]],
  "species": ["Sr", "Sr", "Mg", "Ni", "I"],
  "fractional_positions": [[0.000, 0.500, 0.000], [0.500, 0.000, 0.000], [0.000, 0.000, 0.500], [0.000, 0.000, 0.000], [0.500, 0.500, 0.500]],
  "dos_at_fermi_per_ev_cell": 4.04,
  "space_group": "P4/mmm",
  "magmom_total_mub_per_atom": 0.00,
  "raw_formation_energy_mev_per_atom": -365,
  "final_energy_ha_per_atom": -0.104
}

=====

{
  "formula": "MgTcNi2I",
  "functional": "GGA-PBE",
  "state": "relaxed",
  "lattice": [[4.531, 0.000, 0.000], [0.000, 4.531, 0.000], [0.000, 0.000, 5.339]],
  "species": ["Mg", "Tc", "Ni", "Ni", "I"],
  "fractional_positions": [[0.000, 0.000, 0.000], [0.000, 0.000, 0.500], [0.000, 0.500, 0.500], [0.500, 0.000, 0.500], [0.500, 0.500, 0.000]],
  "dos_at_fermi_per_ev_cell": 5.64,
  "space_group": "P4/mmm",
  "magmom_total_mub_per_atom": 0.00,
  "raw_formation_energy_mev_per_atom": 1013,
  "final_energy_ha_per_atom": -0.147
}

=====

{
  "formula": "MgNiTeI2",
  "functional": "GGA-PBE",
  "state": "relaxed",
  "lattice": [[5.604, 0.000, 0.000], [0.000, 5.604, 0.000], [0.000, 0.000, 5.626]],
  "species": ["Mg", "Ni", "Te", "I", "I"],
  "fractional_positions": [[0.000, 0.000, 0.000], [0.500, 0.500, 0.500], [0.000, 0.000, 0.500], [0.000, 0.500, 0.000], [0.500, 0.000, 0.000]],
  "dos_at_fermi_per_ev_cell": 9.46,
  "space_group": "P4/mmm",
  "de_polymorph_mev_per_atom": 419,
  "magmom_total_mub_per_atom": 0.03,
  "raw_formation_energy_mev_per_atom": 499,
  "final_energy_ha_per_atom": -0.082
}

=====

{
  "formula": "MgNiTeI2",
  "functional": "GGA-PBE",
  "state": "relaxed",
  "lattice": [[5.247, 0.000, 0.000], [0.000, 5.247, 0.000], [0.000, 0.000, 5.279]],
  "species": ["Mg", "Ni", "Te", "I", "I"],
  "fractional_positions": [[0.000, 0.000, 0.000], [0.500, 0.500, 0.500], [0.500, 0.500, 0.000], [0.000, 0.500, 0.500], [0.500, 0.000, 0.500]],
  "dos_at_fermi_per_ev_cell": 4.99,
  "space_group": "P4/mmm",
  "de_polymorph_mev_per_atom": 0,
  "magmom_total_mub_per_atom": 0.00,
  "raw_formation_energy_mev_per_atom": 80,
  "final_energy_ha_per_atom": -0.097
}

=====

{
  "formula": "Y2MgNiI",
  "functional": "GGA-PBE",
  "state": "relaxed",
  "lattice": [[5.693, 0.000, 0.000], [0.000, 5.693, 0.000], [0.000, 0.000, 4.610]],
  "species": ["Y", "Y", "Mg", "Ni", "I"],
  "fractional_positions": [[0.000, 0.500, 0.000], [0.500, 0.000, 0.000], [0.000, 0.000, 0.500], [0.500, 0.500, 0.500], [0.500, 0.500, 0.000]],
  "dos_at_fermi_per_ev_cell": 6.04,
  "space_group": "P4/mmm",
  "magmom_total_mub_per_atom": 0.00,
  "raw_formation_energy_mev_per_atom": 308,
  "final_energy_ha_per_atom": -0.149
}

=====

{
  "formula": "MgNpIO6",
  "functional": "GGA-PBE",
  "state": "relaxed",
  "lattice": [[5.588, 0.000, 0.000], [-2.794, 4.839, 0.000], [0.000, 0.000, 9.033]],
  "species": ["Mg", "Mg", "Np", "Np", "I", "I", "O", "O", "O", "O", "O", "O", "O", "O", "O", "O", "O", "O"],
  "fractional_positions": [[0.000, 0.000, 0.000], [0.000, 0.000, 0.500], [0.333, 0.667, 0.250], [0.667, 0.333, 0.750], [0.333, 0.667, 0.750], [0.667, 0.333, 0.250], [0.004, 0.341, 0.630], [0.004, 0.662, 0.870], [0.338, 0.341, 0.870], [0.338, 0.996, 0.630], [0.341, 0.004, 0.130], [0.341, 0.338, 0.370], [0.659, 0.662, 0.630], [0.659, 0.996, 0.870], [0.662, 0.004, 0.370], [0.662, 0.659, 0.130], [0.996, 0.338, 0.130], [0.996, 0.659, 0.370]],
  "dos_at_fermi_per_ev_cell": 15.03,
  "space_group": "P-31c",
  "magmom_total_mub_per_atom": 0.22,
  "raw_formation_energy_mev_per_atom": -1677,
  "final_energy_ha_per_atom": -0.249
}

=====

{
  "formula": "RbMgNpI6",
  "functional": "GGA-PBE",
  "state": "relaxed",
  "lattice": [[7.900, 0.000, 0.000], [-3.950, 6.842, 0.000], [0.000, 0.000, 16.256]],
  "species": ["Rb", "Rb", "Mg", "Mg", "Np", "Np", "I", "I", "I", "I", "I", "I", "I", "I", "I", "I", "I", "I"],
  "fractional_positions": [[0.000, 0.000, 0.000], [0.000, 0.000, 0.500], [0.333, 0.667, 0.250], [0.667, 0.333, 0.750], [0.333, 0.667, 0.750], [0.667, 0.333, 0.250], [0.016, 0.379, 0.143], [0.016, 0.637, 0.357], [0.363, 0.379, 0.357], [0.363, 0.984, 0.143], [0.379, 0.016, 0.643], [0.379, 0.363, 0.857], [0.621, 0.637, 0.143], [0.621, 0.984, 0.357], [0.637, 0.016, 0.857], [0.637, 0.621, 0.643], [0.984, 0.363, 0.643], [0.984, 0.621, 0.857]],
  "dos_at_fermi_per_ev_cell": 16.56,
  "space_group": "P-31c",
  "magmom_total_mub_per_atom": 0.44,
  "raw_formation_energy_mev_per_atom": -1051,
  "final_energy_ha_per_atom": -0.140
}

=====

{
  "formula": "MgNpTlI6",
  "functional": "GGA-PBE",
  "state": "relaxed",
  "lattice": [[7.858, 0.000, 0.000], [-3.929, 6.805, 0.000], [0.000, 0.000, 15.246]],
  "species": ["Mg", "Mg", "Np", "Np", "Tl", "Tl", "I", "I", "I", "I", "I", "I", "I", "I", "I", "I", "I", "I"],
  "fractional_positions": [[0.333, 0.667, 0.250], [0.667, 0.333, 0.750], [0.333, 0.667, 0.750], [0.667, 0.333, 0.250], [0.000, 0.000, 0.000], [0.000, 0.000, 0.500], [0.016, 0.374, 0.137], [0.016, 0.642, 0.363], [0.358, 0.374, 0.363], [0.358, 0.984, 0.137], [0.374, 0.016, 0.637], [0.374, 0.358, 0.863], [0.626, 0.642, 0.137], [0.626, 0.984, 0.363], [0.642, 0.016, 0.863], [0.642, 0.626, 0.637], [0.984, 0.358, 0.637], [0.984, 0.626, 0.863]],
  "dos_at_fermi_per_ev_cell": 17.02,
  "space_group": "P-31c",
  "magmom_total_mub_per_atom": 0.44,
  "raw_formation_energy_mev_per_atom": -855,
  "final_energy_ha_per_atom": -0.138
}

=====

- What is the formula in the first record?
  MgNi2RuI